VASP calculation (PBE+U) on crystalline Ba2CoCl2O2 at its relaxed geometry.

Cell: 4.240 4.240 16.328 Å, 90.00 90.00 90.00°
Space group I4/mmm (No. 139)
Inequivalent atoms, fractional coordinates:
Ba 0.000 0.000 0.110 x4
Co 0.000 0.000 0.500 x2
Cl 0.000 0.000 0.322 x4
O 0.000 0.500 0.000 x4

Summary:
theoretical density: 4.938 g/cm3
E_tot: -37.39 eV per formula unit
magnetization: 6.0 μB/cell